## SrLiZn10 (PBE-GGA)

Data for SrLiZn10 after structural relaxation.

**E_tot**: -1.485 eV/atom
**Energy of formation from the pure elements**: -0.12 eV per atom

Structure (POSCAR):
```
SrLiZn10
1.0
4.4076 0.0000 0.0000
0.0000 5.1358 0.0000
0.0000 0.0000 9.4347
Sr Li Zn
1 1 10
direct
0.0000 0.0000 0.0000
0.0000 0.5000 0.5000
0.0000 0.0000 0.3516
0.0000 0.0000 0.6484
0.0000 0.5000 0.2070
0.0000 0.5000 0.7930
0.5000 0.0000 0.5000
0.5000 0.2469 0.2487
0.5000 0.2469 0.7513
0.5000 0.5000 0.0000
0.5000 0.7531 0.2487
0.5000 0.7531 0.7513
```